Entry 1:
Density functional theory data (PBE-GGA) for crystalline TiReSe2N at its relaxed geometry.

Values from the calculation:
**V**: 88.9 Å³ per cell
**Formation energy without anion corrections**: 717.5 meV per atom

Structure (POSCAR):
```
TiReSe2N
1.0
-3.439 -3.169 1.744
1.841 0.538 4.607
-2.227 2.731 0.571
Se N Re Ti
2 1 1 1
Direct
0.000 0.500 0.000
0.500 0.000 0.000
0.000 0.000 0.500
0.500 0.500 0.500
0.000 0.000 0.000
```



Entry 2:
Density functional theory data (PBE-GGA) for crystalline CrCuAs2 at its relaxed geometry.

Values from the calculation:
**Formation energy**: 0.0879 eV per atom
**V**: 60.2 Å³ per cell

Structure (POSCAR):
```
CrCuAs2
1.0
-5.358 0.026 5.414
-4.983 -2.975 4.933
-3.082 -1.475 6.808
As Cr Cu
2 1 1
Direct
0.505 0.505 0.505
0.995 0.995 0.995
0.250 0.250 0.250
0.750 0.750 0.750
```



Entry 3:
Density functional theory data (PBE-GGA) for crystalline CoMoRh2 at its relaxed geometry.

Values from the calculation:
**Formation energy**: 0.9815 eV per atom
**V**: 156.4 Å³ per cell

Structure (POSCAR):
```
CoMoRh2
1.0
-4.361 -3.028 -0.126
0.901 -1.084 -5.120
1.292 -6.468 -1.157
Mo Co Rh
2 2 4
Direct
0.000 0.000 0.000
0.750 0.250 0.500
0.500 0.500 0.000
0.250 0.750 0.500
0.375 0.401 0.750
0.151 0.625 0.250
0.875 0.849 0.750
0.599 0.125 0.250
```